First-principles (PBE-GGA) data for an optimized crystal structure of TaTl2IO6, as listed in Alexandria.

As for the magnetic moment: 0.00 μB per formula unit. The raw formation energy is -1.176 eV per atom.

It has space group Fm-3m (No. 225), with a = 8.3367 Å, b = 8.3367 Å, c = 8.3367 Å, α = 90.00°, β = 90.00° and γ = 90.00°. The inequivalent atoms are Ta at (0.0000, 0.0000, 0.0000), Tl at (0.2500, 0.2500, 0.2500), I at (0.0000, 0.0000, 0.5000) and O at (0.0000, 0.0000, 0.2425).

---

First-principles (PBE-GGA) data for an optimized crystal structure of Mg4CuRe, as listed in Alexandria.

As for the magnetic moment: 0.39 μB per formula unit. For the formation energy, the calculation gives 4.4 eV per formula unit.

It has space group F-43m (No. 216), with a = 7.5498 Å, b = 7.5498 Å, c = 7.5498 Å, α = 90.00°, β = 90.00° and γ = 90.00°. The inequivalent atoms are Mg at (0.1243, 0.1243, 0.1243), Cu at (0.0000, 0.0000, 0.5000) and Re at (0.2500, 0.2500, 0.7500).